one:
The following is a PBE calculation of a relaxed structure of Li2FeBr, from Alexandria via LeMat-Bulk.

a b c (Å): 5.729 5.729 5.729
angles (deg): 142.08 142.08 54.71
Positions (direct):
Br (0.500, 0.500, 0.000)
Fe (0.750, 0.250, 0.500)
Li (0.000, 0.000, 0.000)
Li (0.250, 0.750, 0.500)

Its space group is I-4m2 (119).

two:
The following is a PBE calculation of a relaxed structure of Li2FeBr, from Alexandria via LeMat-Bulk.

a b c (Å): 4.510 4.510 3.353
angles (deg): 90.00 90.00 89.91
Positions (direct):
Br (0.500, 0.000, 0.500)
Fe (0.000, 0.500, 0.500)
Li (0.000, 0.000, 0.000)
Li (0.500, 0.500, 0.000)

Its space group is Cmmm (65).

Which structure is most stable? two, by 51 meV/atom over the runner-up.

one:
The following is a PBE calculation of a relaxed structure of Li2FeBr, from Alexandria via LeMat-Bulk.

a b c (Å): 5.467 5.467 5.467
angles (deg): 144.70 113.74 77.36
Positions (direct):
Br (0.750, 0.250, 0.500)
Fe (0.250, 0.750, 0.500)
Li (0.972, 0.972, 0.000)
Li (0.528, 0.528, 0.000)

Its space group is Immm (71).

two:
The following is a PBE calculation of a relaxed structure of Li2FeBr, from Alexandria via LeMat-Bulk.

a b c (Å): 4.597 4.597 4.597
angles (deg): 60.00 60.00 60.00
Positions (direct):
Br (0.500, 0.500, 0.500)
Fe (0.250, 0.250, 0.250)
Li (0.000, 0.000, 0.000)
Li (0.750, 0.750, 0.750)

Its space group is F-43m (216).

Which structure is most stable? one, by 114 meV/atom over the runner-up.

one:
The following is a PBE calculation of a relaxed structure of LiFeBr4, from Alexandria via LeMat-Bulk.

a b c (Å): 6.172 6.172 6.976
angles (deg): 116.26 116.26 90.00
Positions (direct):
Li (0.750, 0.250, 0.500)
Fe (0.500, 0.500, 0.000)
Br (0.402, 0.849, 0.245)
Br (0.844, 0.397, 0.245)
Br (0.151, 0.156, 0.755)
Br (0.603, 0.598, 0.755)

Its space group is I-4 (82).

two:
The following is a PBE calculation of a relaxed structure of LiFeBr4, from Alexandria via LeMat-Bulk.

a b c (Å): 6.419 6.419 6.419
angles (deg): 60.00 60.00 60.00
Positions (direct):
Li (0.000, 0.000, 0.000)
Fe (0.750, 0.750, 0.750)
Br (0.874, 0.375, 0.375)
Br (0.375, 0.375, 0.874)
Br (0.375, 0.874, 0.375)
Br (0.375, 0.375, 0.375)

Its space group is F-43m (216).

Which structure is most stable? one, by 1473 meV/atom over the runner-up.

one:
The following is a PBE calculation of a relaxed structure of MgFe2Br2, from Alexandria via LeMat-Bulk.

a b c (Å): 6.937 6.937 4.533
angles (deg): 90.00 90.00 90.00
Positions (direct):
Mg (0.000, 0.000, 0.000)
Mg (0.500, 0.500, 0.000)
Fe (0.388, 0.888, 0.000)
Fe (0.888, 0.612, 0.000)
Fe (0.612, 0.112, 0.000)
Fe (0.112, 0.388, 0.000)
Br (0.316, 0.816, 0.500)
Br (0.816, 0.684, 0.500)
Br (0.684, 0.184, 0.500)
Br (0.184, 0.316, 0.500)

Its space group is P4/mbm (127).

two:
The following is a PBE calculation of a relaxed structure of MgFe2Br2, from Alexandria via LeMat-Bulk.

a b c (Å): 4.346 4.346 5.796
angles (deg): 67.98 67.98 90.00
Positions (direct):
Mg (0.000, 0.000, 0.000)
Fe (0.394, 0.394, 0.211)
Fe (0.606, 0.606, 0.789)
Br (0.750, 0.250, 0.500)
Br (0.250, 0.750, 0.500)

Its space group is I4/mmm (139).

Which structure is most stable? one, by 384 meV/atom over the runner-up.

one:
The following is a PBE calculation of a relaxed structure of Mg3FeBr, from Alexandria via LeMat-Bulk.

a b c (Å): 5.002 5.002 5.002
angles (deg): 90.00 90.00 90.00
Positions (direct):
Mg (0.000, 0.500, 0.000)
Mg (0.000, 0.000, 0.500)
Mg (0.500, 0.000, 0.000)
Fe (0.000, 0.000, 0.000)
Br (0.500, 0.500, 0.500)

Its space group is Pm-3m (221).

two:
The following is a PBE calculation of a relaxed structure of Mg3FeBr, from Alexandria via LeMat-Bulk.

a b c (Å): 5.088 5.088 5.088
angles (deg): 90.00 90.00 90.00
Positions (direct):
Mg (0.000, 0.500, 0.000)
Mg (0.000, 0.000, 0.500)
Mg (0.500, 0.000, 0.000)
Fe (0.500, 0.500, 0.500)
Br (0.000, 0.000, 0.000)

Its space group is Pm-3m (221).

Which structure is most stable? one, by 288 meV/atom over the runner-up.

one:
The following is a PBE calculation of a relaxed structure of Rb2MgFeBr6, from Alexandria via LeMat-Bulk.

a b c (Å): 7.554 7.554 7.555
angles (deg): 60.00 60.00 90.00
Positions (direct):
Mg (0.500, 0.500, 0.000)
Br (0.247, 0.247, 0.505)
Br (0.753, 0.753, 0.495)
Br (0.247, 0.247, 0.000)
Br (0.753, 0.753, 0.000)
Br (0.753, 0.247, 0.000)
Br (0.247, 0.753, 0.000)
Rb (0.750, 0.250, 0.500)
Rb (0.250, 0.750, 0.500)
Fe (0.000, 0.000, 0.000)

Its space group is Fm-3m (225).

two:
The following is a PBE calculation of a relaxed structure of Rb2MgFeBr6, from Alexandria via LeMat-Bulk.

a b c (Å): 7.519 7.518 10.745
angles (deg): 90.00 90.03 90.00
Positions (direct):
Rb (0.004, 0.979, 0.250)
Rb (0.504, 0.521, 0.750)
Rb (0.996, 0.021, 0.750)
Rb (0.496, 0.479, 0.250)
Mg (0.500, 0.000, 0.000)
Mg (0.000, 0.500, 0.500)
Fe (0.500, 0.000, 0.500)
Fe (0.000, 0.500, 0.000)
Br (0.276, 0.719, 0.017)
Br (0.776, 0.781, 0.517)
Br (0.724, 0.281, 0.983)
Br (0.224, 0.219, 0.483)
Br (0.281, 0.724, 0.483)
Br (0.781, 0.776, 0.983)
Br (0.719, 0.276, 0.517)
Br (0.219, 0.224, 0.017)
Br (0.967, 0.499, 0.248)
Br (0.467, 0.001, 0.748)
Br (0.033, 0.501, 0.752)
Br (0.533, 0.999, 0.252)

Its space group is P2_1/c (14).

Which structure is most stable? two, by 5 meV/atom over the runner-up.

one:
The following is a PBE calculation of a relaxed structure of Mn3FeBr, from Alexandria via LeMat-Bulk.

a b c (Å): 4.565 4.565 4.565
angles (deg): 90.00 90.00 90.00
Positions (direct):
Mn (0.000, 0.500, 0.000)
Mn (0.000, 0.000, 0.500)
Mn (0.500, 0.000, 0.000)
Fe (0.000, 0.000, 0.000)
Br (0.500, 0.500, 0.500)

Its space group is Pm-3m (221).

two:
The following is a PBE calculation of a relaxed structure of Mn3FeBr, from Alexandria via LeMat-Bulk.

a b c (Å): 4.232 4.232 4.232
angles (deg): 90.00 90.00 90.00
Positions (direct):
Mn (0.000, 0.500, 0.000)
Mn (0.000, 0.000, 0.500)
Mn (0.500, 0.000, 0.000)
Fe (0.500, 0.500, 0.500)
Br (0.000, 0.000, 0.000)

Its space group is Pm-3m (221).

Which structure is most stable? one, by 934 meV/atom over the runner-up.

one:
The following is a PBE calculation of a relaxed structure of MnFeBr4, from Alexandria via LeMat-Bulk.

a b c (Å): 6.035 6.035 11.035
angles (deg): 90.00 90.00 90.00
Positions (direct):
Mn (0.000, 0.000, 0.000)
Mn (0.000, 0.000, 0.500)
Fe (0.000, 0.500, 0.250)
Fe (0.500, 0.000, 0.750)
Br (0.262, 0.236, 0.875)
Br (0.738, 0.764, 0.875)
Br (0.236, 0.262, 0.375)
Br (0.262, 0.764, 0.625)
Br (0.738, 0.236, 0.625)
Br (0.236, 0.738, 0.125)
Br (0.764, 0.262, 0.125)
Br (0.764, 0.738, 0.375)

Its space group is P-42c (112).

two:
The following is a PBE calculation of a relaxed structure of MnFeBr4, from Alexandria via LeMat-Bulk.

a b c (Å): 6.227 6.227 6.227
angles (deg): 60.00 60.00 60.00
Positions (direct):
Mn (0.000, 0.000, 0.000)
Fe (0.750, 0.750, 0.750)
Br (0.875, 0.375, 0.375)
Br (0.375, 0.375, 0.875)
Br (0.375, 0.875, 0.375)
Br (0.375, 0.375, 0.375)

Its space group is F-43m (216).

Which structure is most stable? one, by 1726 meV/atom over the runner-up.